[1]
This record from the Alexandria database describes crystalline Mg3Ni2Ge2 at its relaxed geometry. The functional is PBE.

Results
Raw total energy   -4.01 eV per atom

Structure (extended XYZ):
```
28
Lattice="5.190 0.000 0.000 0.000 7.256 0.000 0.000 0.000 12.285" Properties=species:S:1:pos:R:3 pbc="T T T"
Mg 3.265 5.389 9.214
Mg 4.472 2.832 7.375
Mg 4.472 0.796 4.911
Mg 4.472 0.796 1.232
Mg 0.719 4.423 4.911
Mg 1.926 1.761 9.214
Mg 3.265 5.494 3.071
Mg 0.719 4.423 1.232
Mg 0.719 6.460 7.375
Mg 1.926 1.867 3.071
Mg 0.719 6.460 11.054
Mg 4.472 2.832 11.054
Ni 1.903 3.880 11.191
Ni 3.287 0.252 7.238
Ni 3.287 3.375 1.095
Ni 3.287 3.375 5.048
Ni 1.903 3.880 7.238
Ni 1.903 7.003 5.048
Ni 1.903 7.003 1.095
Ni 3.287 0.252 11.191
Ge 1.824 1.814 0.000
Ge 4.495 2.949 3.071
Ge 3.367 5.442 6.143
Ge 3.367 5.442 0.000
Ge 0.695 4.306 9.214
Ge 1.824 1.814 6.143
Ge 4.495 0.679 9.214
Ge 0.695 6.577 3.071
```

***

[2]
This record from the Alexandria database describes crystalline MgNi15Ge4 at its relaxed geometry. The functional is PBE.

Results
Raw total energy   -5.58 eV per atom

Structure (extended XYZ):
```
20
Lattice="-2.995 -1.316 -1.487 -0.311 -2.347 2.704 -9.781 11.878 9.185" Properties=species:S:1:pos:R:3 pbc="T T T"
Ni -9.443 7.628 7.923
Ni -1.653 -1.832 0.608
Ni -5.574 2.930 4.290
Ni -7.514 5.285 6.112
Ni -6.989 7.124 7.768
Ni -3.104 2.407 4.120
Ni -10.256 9.978 7.481
Ni -1.178 0.068 2.312
Ni -8.331 7.640 5.673
Ni -6.388 5.281 3.849
Ni -5.046 4.765 5.944
Ni -3.644 0.587 2.478
Ni -8.914 9.463 9.577
Ni -2.520 0.584 0.217
Ni -4.446 2.922 2.025
Ge -5.865 7.122 5.507
Ge -3.916 4.756 3.678
Ge -7.817 9.493 7.341
Ge -1.964 2.385 1.844
Mg 0.000 0.000 0.000
```

***

[3]
This record from the Alexandria database describes crystalline MgNi3Ge2 at its relaxed geometry. The functional is PBE.

Results
Relative energy among the computed polymorphs   0.000 eV per atom

Structure (extended XYZ):
```
12
Lattice="-3.441 0.779 -2.040 1.487 -3.793 0.114 -5.977 -2.063 9.297" Properties=species:S:1:pos:R:3 pbc="T T T"
Mg -4.483 -1.548 6.973
Mg -1.494 -0.516 2.324
Ge -4.199 -1.573 2.411
Ge -3.733 -3.504 4.960
Ge -5.545 -4.129 7.777
Ge -2.387 -0.948 -0.406
Ni -2.417 -3.049 2.913
Ni -2.989 -1.032 4.648
Ni -5.515 -2.028 4.458
Ni 0.000 0.000 0.000
Ni -0.884 -2.520 0.528
Ni -7.048 -2.557 6.843
```

***

[4]
This record from the Alexandria database describes crystalline MgNi6Ge4 at its relaxed geometry. The functional is PBE.

Results
Raw total energy   -5.12 eV per atom

Structure (extended XYZ):
```
11
Lattice="6.105 -0.108 -0.158 -2.918 5.364 0.158 -2.918 -1.825 5.046" Properties=species:S:1:pos:R:3 pbc="T T T"
Ni -3.491 3.241 2.348
Ni -1.349 1.942 2.856
Ni -3.491 0.992 3.877
Ni 1.593 -0.966 2.444
Ni 1.593 2.628 0.000
Ni 2.763 0.795 1.169
Ge 0.824 1.580 2.323
Ge -2.595 3.088 4.542
Ge -1.898 -0.364 2.723
Ge -1.898 2.666 0.663
Mg 0.000 0.000 0.000
```

***

[5]
This record from the Alexandria database describes crystalline MgNi5Ge at its relaxed geometry. The functional is PBE.

Results
Raw total energy   -5.12 eV per atom

Structure (extended XYZ):
```
7
Lattice="3.666 0.000 0.000 0.000 3.667 0.000 0.000 0.000 6.652" Properties=species:S:1:pos:R:3 pbc="T T T"
Ni 1.833 0.000 1.484
Ni 1.833 1.833 3.326
Ni 0.000 1.833 1.484
Ni 1.833 0.000 5.168
Ni 0.000 1.833 5.168
Mg 0.000 0.000 3.326
Ge 1.833 1.833 0.000
```

***

[6]
This record from the Alexandria database describes crystalline MgNi2Ge at its relaxed geometry. The functional is PBE.

Results
Raw total energy   -4.68 eV per atom

Structure (extended XYZ):
```
4
Lattice="2.982 0.000 0.000 0.000 2.982 0.000 0.000 0.000 6.068" Properties=species:S:1:pos:R:3 pbc="T T T"
Ni 0.000 0.000 1.305
Ni 0.000 0.000 4.763
Ge 1.491 1.491 0.000
Mg 1.491 1.491 3.034
```

***

[7]
This record from the Alexandria database describes crystalline Mg3Ni6Ge2 at its relaxed geometry. The functional is PBE.

Results
Raw total energy   -4.73 eV per atom

Structure (extended XYZ):
```
22
Lattice="6.999 0.000 -2.475 -3.500 6.062 -2.475 0.000 0.000 7.424" Properties=species:S:1:pos:R:3 pbc="T T T"
Ge 0.000 0.000 3.712
Ge 1.750 3.031 1.237
Ge -1.750 3.031 -1.237
Ge 3.500 0.000 -1.237
Mg -1.025 1.776 1.450
Mg 2.474 4.286 -3.499
Mg 1.025 1.776 -1.450
Mg -2.474 4.286 3.499
Mg 2.051 0.000 1.450
Mg 4.949 0.000 3.499
Ni 2.330 0.000 4.128
Ni 0.004 4.043 2.475
Ni 2.335 4.043 -0.821
Ni 0.000 4.036 0.000
Ni -0.004 4.043 -2.475
Ni 3.495 2.018 0.000
Ni 1.165 2.018 3.296
Ni -1.165 2.018 4.128
Ni 4.669 0.000 0.821
Ni 3.504 2.018 -2.475
Ni -2.335 4.043 0.821
Ni 3.500 2.025 2.475
```

***

[8]
This record from the Alexandria database describes crystalline MgNi4Ge at its relaxed geometry. The functional is PBE.

Results
Relative energy among the computed polymorphs   0.000 eV per atom

Structure (extended XYZ):
```
6
Lattice="-2.172 3.457 -2.480 -0.555 -0.438 -4.724 -4.346 -0.747 -1.835" Properties=species:S:1:pos:R:3 pbc="T T T"
Ni -3.335 -0.305 -4.410
Ni -4.418 1.419 -5.646
Ni -2.251 1.792 -4.731
Ni -4.142 1.637 -3.291
Mg 0.000 0.000 0.000
Ge -1.768 0.568 -2.260
```

***

[9]
This record from the Alexandria database describes crystalline MgNi2Ge at its relaxed geometry. The functional is PBE.

Results
Raw total energy   -4.40 eV per atom

Structure (extended XYZ):
```
8
Lattice="6.729 0.000 0.000 0.000 6.729 0.000 3.364 3.364 2.677" Properties=species:S:1:pos:R:3 pbc="T T T"
Ni 5.047 4.775 2.007
Ni 1.411 5.047 0.669
Ni 5.318 1.682 0.669
Ni 8.411 8.683 2.007
Mg 3.364 6.729 1.338
Mg 3.364 3.364 0.000
Ge 0.000 0.000 0.000
Ge 6.729 3.364 1.338
```

***

[10]
This record from the Alexandria database describes crystalline MgNi12Ge6 at its relaxed geometry. The functional is PBE.

Results
Raw total energy   -5.35 eV per atom

Structure (extended XYZ):
```
19
Lattice="6.720 -0.109 -0.154 -1.772 6.483 -0.154 -1.772 -2.282 6.070" Properties=species:S:1:pos:R:3 pbc="T T T"
Ni -1.643 1.219 5.249
Ni 4.819 -0.463 2.881
Ni 1.588 5.381 0.513
Ni 1.464 1.886 4.960
Ni 1.712 0.030 2.347
Ni 1.712 2.206 0.802
Ni 3.572 2.425 3.415
Ni 4.819 2.873 0.513
Ni 1.464 4.061 3.415
Ni 1.588 -1.289 5.249
Ni -1.643 4.554 2.881
Ni -0.395 1.666 2.347
Ge 3.110 4.007 1.566
Ge -0.618 3.053 4.299
Ge 3.110 0.158 4.299
Ge 0.066 3.934 1.463
Ge 3.795 1.039 1.463
Ge 0.066 0.085 4.196
Mg 0.000 0.000 0.000
```

***

[11]
This record from the Alexandria database describes crystalline MgNi3Ge2 at its relaxed geometry. The functional is PBE.

Results
Relative energy among the computed polymorphs   0.030 eV per atom

Structure (extended XYZ):
```
18
Lattice="3.770 0.000 0.000 -1.885 7.639 -2.220 0.000 0.064 8.860" Properties=species:S:1:pos:R:3 pbc="T T T"
Ni 1.885 1.640 1.174
Ni 0.000 4.767 -1.071
Ni 0.000 3.275 2.625
Ni 0.000 6.062 5.465
Ni 1.885 4.427 4.014
Ni 1.885 2.935 7.711
Ni 0.000 0.627 2.722
Ni 1.885 7.075 3.917
Ni 1.885 0.032 4.430
Ge 0.000 5.566 3.144
Ge 0.000 6.925 -0.127
Ge 1.885 4.861 6.337
Ge 0.000 2.842 0.302
Ge 1.885 0.778 6.766
Ge 1.885 2.136 3.495
Mg 0.000 0.000 0.000
Mg 0.000 2.686 5.629
Mg 1.885 5.017 1.011
```

***

[12]
This record from the Alexandria database describes crystalline MgNiGe3 at its relaxed geometry. The functional is PBE.

Results
Raw total energy   -4.08 eV per atom

Structure (extended XYZ):
```
5
Lattice="-2.632 1.637 3.469 -0.085 -4.231 1.933 3.835 1.030 2.424" Properties=species:S:1:pos:R:3 pbc="T T T"
Ni 0.000 0.000 0.000
Ge -1.316 0.819 1.735
Ge -0.042 -2.116 0.966
Ge 1.918 0.515 1.212
Mg 0.559 -0.782 3.913
```

***

[13]
This record from the Alexandria database describes crystalline Mg2Ni5Ge4 at its relaxed geometry. The functional is PBE.

Results
Raw total energy   -4.85 eV per atom

Structure (extended XYZ):
```
11
Lattice="-1.003 -3.541 -3.555 -0.009 -4.953 1.253 -7.755 -1.347 -0.154" Properties=species:S:1:pos:R:3 pbc="T T T"
Ni -4.634 -5.805 -2.117
Ni -4.133 -4.035 -0.339
Ni -0.004 -2.476 0.626
Ni -0.506 -4.247 -1.151
Ni -0.501 -1.770 -1.778
Mg -2.493 -3.454 -3.222
Mg -6.265 -1.434 -0.488
Ge -2.544 -5.587 -1.083
Ge -6.222 -4.253 -1.374
Ge -6.549 -7.153 -2.076
Ge -2.218 -2.687 -0.380
```

***

[14]
This record from the Alexandria database describes crystalline MgNiGe3 at its relaxed geometry. The functional is PBE.

Results
Raw total energy   -3.14 eV per atom

Structure (extended XYZ):
```
5
Lattice="4.899 0.000 0.000 0.000 4.899 0.000 0.000 0.000 4.899" Properties=species:S:1:pos:R:3 pbc="T T T"
Mg 0.000 0.000 0.000
Ge 2.450 0.000 0.000
Ge 0.000 0.000 2.450
Ge 0.000 2.450 0.000
Ni 2.450 2.450 2.450
```

***

[15]
This record from the Alexandria database describes crystalline MgNi2Ge at its relaxed geometry. The functional is PBE.

Results
Raw total energy   -4.37 eV per atom

Structure (extended XYZ):
```
16
Lattice="6.222 0.000 0.000 0.000 5.058 0.000 0.000 0.000 8.614" Properties=species:S:1:pos:R:3 pbc="T T T"
Ge 3.111 3.793 6.138
Ge 3.111 1.264 2.476
Ge 0.000 3.793 6.503
Ge 0.000 1.264 2.111
Ni 4.303 1.264 0.526
Ni 4.303 3.793 8.088
Ni 1.919 1.264 0.526
Ni 0.000 0.000 0.000
Ni 3.111 2.529 4.307
Ni 3.111 0.000 4.307
Ni 0.000 2.529 0.000
Ni 1.919 3.793 8.088
Mg 0.000 3.793 3.450
Mg 3.111 3.793 1.817
Mg 3.111 1.264 6.797
Mg 0.000 1.264 5.164
```

***

[16]
This record from the Alexandria database describes crystalline Mg2Ni3Ge2 at its relaxed geometry. The functional is PBE.

Results
Raw total energy   -4.55 eV per atom

Structure (extended XYZ):
```
7
Lattice="3.946 -0.028 -1.112 -2.151 3.550 -0.002 -0.085 -0.052 7.381" Properties=species:S:1:pos:R:3 pbc="T T T"
Ni 0.240 2.582 0.955
Ni 0.000 0.000 0.000
Ni 1.470 0.888 5.312
Mg 0.702 0.429 2.545
Mg 1.008 3.041 3.722
Ge 2.200 1.340 0.346
Ge -0.490 2.130 5.921
```

***

[17]
This record from the Alexandria database describes crystalline Mg2Ni2Ge3 at its relaxed geometry. The functional is PBE.

Results
Raw total energy   -4.34 eV per atom

Structure (extended XYZ):
```
7
Lattice="3.887 0.000 0.000 -1.943 4.365 -1.930 0.000 -0.320 6.718" Properties=species:S:1:pos:R:3 pbc="T T T"
Ge 0.000 3.109 2.195
Ge 1.943 0.000 0.000
Ge 1.943 0.935 2.592
Mg 1.943 2.944 -0.003
Mg 0.000 1.100 4.791
Ni 1.943 2.978 3.879
Ni 0.000 1.067 0.908
```

***

[18]
This record from the Alexandria database describes crystalline MgNp2Ni4Ge3 at its relaxed geometry. The functional is PBE.

Results
Raw total energy   -6.73 eV per atom

Structure (extended XYZ):
```
10
Lattice="4.000 0.000 0.000 0.000 4.000 0.000 0.000 0.000 10.317" Properties=species:S:1:pos:R:3 pbc="T T T"
Ge 0.000 0.000 5.158
Ge 0.000 2.000 1.298
Ge 2.000 0.000 9.018
Ni 2.000 2.000 0.000
Ni 2.000 0.000 6.679
Ni 0.000 2.000 3.638
Ni 0.000 0.000 0.000
Mg 2.000 2.000 5.158
Np 0.000 2.000 7.814
Np 2.000 0.000 2.502
```

***

Fermi-level density of states, record by record: 0.355 0.984 0.562 0.788 1.263 0.491 0.727 0.828 0.411 0.500 0.567 0.262 0.535 0.859 0.915 0.414 0.380 2.368 states/eV per atom